(1)
VASP calculation (PBE-GGA) on crystalline Mo2P at its relaxed geometry.

Output
Volume in A^3/atom: 15.8
Symmetry: Pa-3
ΔE_f in eV per atom: 0.03
Polymorph energy (0 for the lowest one) in meV/atom: 417

a = 5.7460 Å, b = 5.7460 Å, c = 5.7460 Å
α = 90.00°, β = 90.00°, γ = 90.00°
Last column: nearest neighbours and their distance in Å.
Fractional coordinates of all 12 atoms:
Mo  0.1386  0.1386  0.1386  3 P 2.36
Mo  0.1386  0.3614  0.6386  3 P 2.36
Mo  0.3614  0.6386  0.1386  3 P 2.36
Mo  0.3614  0.8614  0.6386  3 P 2.36
Mo  0.6386  0.1386  0.3614  3 P 2.36
Mo  0.6386  0.3614  0.8614  3 P 2.36
Mo  0.8614  0.6386  0.3614  3 P 2.36
Mo  0.8614  0.8614  0.8614  3 P 2.36
P  0.0000  0.0000  0.5000  6 Mo 2.36
P  0.0000  0.5000  0.0000  6 Mo 2.36
P  0.5000  0.0000  0.0000  6 Mo 2.36
P  0.5000  0.5000  0.5000  6 Mo 2.36

(2)
VASP calculation (PBE-GGA) on crystalline Rb2SrAsS4 at its relaxed geometry.

Output
Volume in A^3/atom: 39.5
Symmetry: Fddd
Raw formation energy in eV/atom: -0.835

a = 14.9160 Å, b = 13.5107 Å, c = 7.9164 Å
α = 83.90°, β = 64.25°, γ = 31.85°
Last column: nearest neighbours and their distance in Å.
Fractional coordinates of all 16 atoms:
Rb  0.0661  0.0661  0.6839  4 S 3.52-3.69
Rb  0.3161  0.3161  0.9339  4 S 3.52-3.69
Rb  0.6839  0.6839  0.0661  4 S 3.52-3.69
Rb  0.9339  0.9339  0.3161  4 S 3.52-3.69
Sr  0.1250  0.1250  0.1250  4 S 2.81
Sr  0.8750  0.8750  0.8750  4 S 2.81
As  0.3750  0.3750  0.3750  4 S 2.35
As  0.6250  0.6250  0.6250  4 S 2.35
S  0.0267  0.6272  0.5175  1 As 2.35
S  0.3285  0.5175  0.6272  1 As 2.35
S  0.3728  0.9733  0.6715  1 As 2.35
S  0.4825  0.6715  0.9733  1 As 2.35
S  0.5175  0.3285  0.0267  1 As 2.35
S  0.6272  0.0267  0.3285  1 As 2.35
S  0.6715  0.4825  0.3728  1 As 2.35
S  0.9733  0.3728  0.4825  1 As 2.35